# Ba2TlW PBE-GGA relaxed
data_Ba2TlW
_chemical_formula_sum 'Ba4 Tl2 W2'
_space_group_name_H-M_alt 'I m m 2'
_space_group_IT_number 44
_cell_length_a 3.9650
_cell_length_b 5.8047
_cell_length_c 11.9234
_cell_angle_alpha 90.00
_cell_angle_beta 90.00
_cell_angle_gamma 90.00
loop_
_space_group_symop_operation_xyz
'x,y,z'
'-x,-y,z'
'-x,y,z'
'x,-y,z'
'x+1/2,y+1/2,z+1/2'
'-x+1/2,-y+1/2,z+1/2'
'-x+1/2,y+1/2,z+1/2'
'x+1/2,-y+1/2,z+1/2'
loop_
_atom_site_label
_atom_site_fract_x
_atom_site_fract_y
_atom_site_fract_z
Ba1 0.0000 0.0000 0.0000
Ba2 0.0000 0.5000 0.1939
Tl1 0.0000 0.5000 0.7759
W1 0.0000 0.0000 0.4446
# Fermi-level density of states	9.52	states/eV/cell
# DFT formation energy	0.794	eV per atom

***

# Pr8Zn2Pt PBE-GGA relaxed
data_Pr8Zn2Pt
_chemical_formula_sum 'Pr16 Zn4 Pt2'
_space_group_name_H-M_alt 'C 1 2/m 1'
_space_group_IT_number 12
_cell_length_a 18.5141
_cell_length_b 5.2648
_cell_length_c 6.9184
_cell_angle_alpha 90.00
_cell_angle_beta 100.69
_cell_angle_gamma 90.00
loop_
_space_group_symop_operation_xyz
'x,y,z'
'-x,-y,-z'
'-x,y,-z'
'x,-y,z'
'x+1/2,y+1/2,z'
'-x+1/2,-y+1/2,-z'
'-x+1/2,y+1/2,-z'
'x+1/2,-y+1/2,z'
loop_
_atom_site_label
_atom_site_fract_x
_atom_site_fract_y
_atom_site_fract_z
Pr1 0.0273 0.0000 0.2757
Pr2 0.0899 0.5000 0.9409
Pr3 0.1579 0.5000 0.4604
Pr4 0.2022 0.0000 0.8197
Zn1 0.1941 0.0000 0.2484
Pt1 0.0000 0.5000 0.5000
# Fermi-level density of states	21.06	states/eV/cell
# DFT formation energy	-0.279	eV per atom

***

# LuScSn2 PBE-GGA relaxed
data_LuScSn2
_chemical_formula_sum 'Lu1 Sc1 Sn2'
_space_group_name_H-M_alt 'P 4/m m m'
_space_group_IT_number 123
_space_group_name_Hall '-P 4 2'
_cell_length_a 3.8572
_cell_length_b 3.8572
_cell_length_c 6.5917
_cell_angle_alpha 90.00
_cell_angle_beta 90.00
_cell_angle_gamma 90.00
loop_
_atom_site_label
_atom_site_fract_x
_atom_site_fract_y
_atom_site_fract_z
Lu1 0.0000 0.0000 0.0000
Sc1 0.0000 0.0000 0.5000
Sn1 0.5000 0.5000 0.2646
# Fermi-level density of states	4.70	states/eV/cell
# DFT formation energy	-0.485	eV per atom

***

| no. | density (Mg/m³) |
| --- | --- |
| 1 | 8.022 |
| 2 | 7.283 |
| 3 | 7.744 |